# LiCoMoRh

A geometry-optimized LiCoMoRh structure (PBE, the Alexandria database).

Cell and atoms, written as POSCAR:
```
LiCoMoRh
1.0
0.0000 2.9688 2.9688
2.9688 0.0000 2.9688
2.9688 2.9688 0.0000
Li Co Mo Rh
1 1 1 1
direct
0.0000 0.0000 0.0000 Li
0.2500 0.2500 0.2500 Co
0.5000 0.5000 0.5000 Mo
0.7500 0.7500 0.7500 Rh
```

Values from the calculation:
- DFT total energy (eV per atom) = -6.782
- symmetry = F-43m (216)
- energy of formation (eV/atom) = 0.019